DFT (PBE-GGA) results for an optimized crystal structure of Sr2ScCo.

Structure (CIF):
```
data_Sr2ScCo
_symmetry_space_group_name_H-M 'P 1'
_symmetry_Int_Tables_number 1
_cell_length_a 3.429
_cell_length_b 4.039
_cell_length_c 18.084
_cell_angle_alpha 90.00
_cell_angle_beta 90.00
_cell_angle_gamma 90.00
loop_
_symmetry_equiv_pos_as_xyz
'x,y,z'
loop_
_atom_site_label
_atom_site_fract_x
_atom_site_fract_y
_atom_site_fract_z
Sr1 0.000 0.000 0.153
Sr2 0.000 0.000 0.847
Sr3 0.500 0.500 0.347
Sr4 0.500 0.500 0.653
Sc1 0.000 0.500 0.000
Sc2 0.500 0.000 0.500
Co1 0.000 0.500 0.500
Co2 0.500 0.000 0.000
```

Values from the calculation:
Its raw total energy is -15.98 eV/f.u. The value obtained for the energy above the lowest structure with this stoichiometry is 71.0 meV per atom. Its crystal system is orthorhombic. The calculation puts the density of states at the Fermi level at 6.48 states/eV per cell.


DFT (PBE-GGA) results for an optimized crystal structure of SrScCo2.

Structure (CIF):
```
data_SrScCo2
_symmetry_space_group_name_H-M 'P 1'
_symmetry_Int_Tables_number 1
_cell_length_a 3.408
_cell_length_b 3.447
_cell_length_c 6.887
_cell_angle_alpha 90.00
_cell_angle_beta 90.00
_cell_angle_gamma 90.00
loop_
_symmetry_equiv_pos_as_xyz
'x,y,z'
loop_
_atom_site_label
_atom_site_fract_x
_atom_site_fract_y
_atom_site_fract_z
Sr1 0.000 0.000 0.000
Sc1 0.000 0.000 0.500
Co1 0.500 0.500 0.326
Co2 0.500 0.500 0.674
```

Values from the calculation:
Its raw total energy is -21.56 eV/f.u. The value obtained for the energy above the lowest structure with this stoichiometry is 156.2 meV per atom. Its crystal system is orthorhombic. The calculation puts the density of states at the Fermi level at 6.00 states/eV per cell.


DFT (PBE-GGA) results for an optimized crystal structure of SrSc2Co.

Structure (CIF):
```
data_SrSc2Co
_symmetry_space_group_name_H-M 'P 1'
_symmetry_Int_Tables_number 1
_cell_length_a 4.239
_cell_length_b 4.462
_cell_length_c 4.956
_cell_angle_alpha 90.00
_cell_angle_beta 90.00
_cell_angle_gamma 90.00
loop_
_symmetry_equiv_pos_as_xyz
'x,y,z'
loop_
_atom_site_label
_atom_site_fract_x
_atom_site_fract_y
_atom_site_fract_z
Sr1 0.000 0.000 0.000
Sc1 0.000 0.500 0.500
Sc2 0.500 0.000 0.500
Co1 0.500 0.500 0.000
```

Values from the calculation:
Its raw total energy is -19.49 eV/f.u. The value obtained for the energy above the lowest structure with this stoichiometry is 484.3 meV per atom. Its crystal system is orthorhombic. The calculation puts the density of states at the Fermi level at 5.73 states/eV per cell.


DFT (PBE-GGA) results for an optimized crystal structure of SrScCo2.

Structure (CIF):
```
data_SrScCo2
_symmetry_space_group_name_H-M 'P 1'
_symmetry_Int_Tables_number 1
_cell_length_a 4.790
_cell_length_b 4.790
_cell_length_c 3.303
_cell_angle_alpha 90.00
_cell_angle_beta 90.00
_cell_angle_gamma 90.00
loop_
_symmetry_equiv_pos_as_xyz
'x,y,z'
loop_
_atom_site_label
_atom_site_fract_x
_atom_site_fract_y
_atom_site_fract_z
Sr1 0.000 0.000 0.000
Sc1 0.500 0.500 0.000
Co1 0.000 0.500 0.500
Co2 0.500 0.000 0.500
```

Values from the calculation:
Its raw total energy is -20.68 eV/f.u. The value obtained for the energy above the lowest structure with this stoichiometry is 375.0 meV per atom. Its crystal system is tetragonal. The calculation puts the density of states at the Fermi level at 8.26 states/eV per cell.


DFT (PBE-GGA) results for an optimized crystal structure of SrSc2Co.

Structure (CIF):
```
data_SrSc2Co
_symmetry_space_group_name_H-M 'P 1'
_symmetry_Int_Tables_number 1
_cell_length_a 7.039
_cell_length_b 7.039
_cell_length_c 7.039
_cell_angle_alpha 90.00
_cell_angle_beta 90.00
_cell_angle_gamma 90.00
loop_
_symmetry_equiv_pos_as_xyz
'x,y,z'
loop_
_atom_site_label
_atom_site_fract_x
_atom_site_fract_y
_atom_site_fract_z
Sr1 0.000 0.000 0.000
Sr2 0.000 0.500 0.500
Sr3 0.500 0.000 0.500
Sr4 0.500 0.500 0.000
Sc1 0.250 0.250 0.250
Sc2 0.250 0.250 0.750
Sc3 0.250 0.750 0.250
Sc4 0.250 0.750 0.750
Sc5 0.750 0.250 0.250
Sc6 0.750 0.250 0.750
Sc7 0.750 0.750 0.250
Sc8 0.750 0.750 0.750
Co1 0.000 0.000 0.500
Co2 0.000 0.500 0.000
Co3 0.500 0.000 0.000
Co4 0.500 0.500 0.500
```

Values from the calculation:
Its raw total energy is -19.68 eV/f.u. The value obtained for the energy above the lowest structure with this stoichiometry is 437.1 meV per atom. Its crystal system is cubic. The calculation puts the density of states at the Fermi level at 20.75 states/eV per cell.


DFT (PBE-GGA) results for an optimized crystal structure of Sr2ScCo.

Structure (CIF):
```
data_Sr2ScCo
_symmetry_space_group_name_H-M 'P 1'
_symmetry_Int_Tables_number 1
_cell_length_a 12.666
_cell_length_b 3.665
_cell_length_c 5.987
_cell_angle_alpha 90.00
_cell_angle_beta 118.18
_cell_angle_gamma 90.00
loop_
_symmetry_equiv_pos_as_xyz
'x,y,z'
loop_
_atom_site_label
_atom_site_fract_x
_atom_site_fract_y
_atom_site_fract_z
Sr1 0.000 0.000 0.000
Sr2 0.182 0.000 0.682
Sr3 0.500 0.500 0.000
Sr4 0.682 0.500 0.682
Sc1 0.357 0.000 0.357
Sc2 0.857 0.500 0.357
Co1 0.219 0.500 0.220
Co2 0.719 0.000 0.220
```

Values from the calculation:
Its raw total energy is -15.92 eV/f.u. The value obtained for the energy above the lowest structure with this stoichiometry is 85.8 meV per atom. Its crystal system is monoclinic. The calculation puts the density of states at the Fermi level at 7.00 states/eV per cell.


DFT (PBE-GGA) results for an optimized crystal structure of SrSc2Co.

Structure (CIF):
```
data_SrSc2Co
_symmetry_space_group_name_H-M 'P 1'
_symmetry_Int_Tables_number 1
_cell_length_a 3.454
_cell_length_b 5.703
_cell_length_c 10.055
_cell_angle_alpha 90.00
_cell_angle_beta 90.00
_cell_angle_gamma 90.00
loop_
_symmetry_equiv_pos_as_xyz
'x,y,z'
loop_
_atom_site_label
_atom_site_fract_x
_atom_site_fract_y
_atom_site_fract_z
Sr1 0.000 0.000 0.000
Sr2 0.500 0.500 0.500
Sc1 0.000 0.500 0.180
Sc2 0.000 0.500 0.820
Sc3 0.500 0.000 0.320
Sc4 0.500 0.000 0.680
Co1 0.000 0.000 0.500
Co2 0.500 0.500 0.000
```

Values from the calculation:
Its raw total energy is -21.03 eV/f.u. The value obtained for the energy above the lowest structure with this stoichiometry is 99.8 meV per atom. Its crystal system is orthorhombic. The calculation puts the density of states at the Fermi level at 7.84 states/eV per cell.


DFT (PBE-GGA) results for an optimized crystal structure of SrScCo2.

Structure (CIF):
```
data_SrScCo2
_symmetry_space_group_name_H-M 'P 1'
_symmetry_Int_Tables_number 1
_cell_length_a 3.267
_cell_length_b 3.267
_cell_length_c 7.848
_cell_angle_alpha 90.00
_cell_angle_beta 90.00
_cell_angle_gamma 90.00
loop_
_symmetry_equiv_pos_as_xyz
'x,y,z'
loop_
_atom_site_label
_atom_site_fract_x
_atom_site_fract_y
_atom_site_fract_z
Sr1 0.000 0.000 0.000
Sc1 0.500 0.500 0.595
Co1 0.000 0.000 0.395
Co2 0.500 0.500 0.289
```

Values from the calculation:
Its raw total energy is -21.22 eV/f.u. The value obtained for the energy above the lowest structure with this stoichiometry is 242.0 meV per atom. Its crystal system is tetragonal. The calculation puts the density of states at the Fermi level at 5.14 states/eV per cell.


DFT (PBE-GGA) results for an optimized crystal structure of Sr2ScCo.

Structure (CIF):
```
data_Sr2ScCo
_symmetry_space_group_name_H-M 'P 1'
_symmetry_Int_Tables_number 1
_cell_length_a 3.542
_cell_length_b 3.542
_cell_length_c 9.554
_cell_angle_alpha 90.00
_cell_angle_beta 90.00
_cell_angle_gamma 90.00
loop_
_symmetry_equiv_pos_as_xyz
'x,y,z'
loop_
_atom_site_label
_atom_site_fract_x
_atom_site_fract_y
_atom_site_fract_z
Sr1 0.000 0.000 0.000
Sr2 0.500 0.500 0.374
Sc1 0.500 0.500 0.708
Co1 0.000 0.000 0.599
```

Values from the calculation:
Its raw total energy is -16.15 eV/f.u. The value obtained for the energy above the lowest structure with this stoichiometry is 27.7 meV per atom. Its crystal system is tetragonal. The calculation puts the density of states at the Fermi level at 2.76 states/eV per cell.


DFT (PBE-GGA) results for an optimized crystal structure of Sr4ScCo2.

Structure (CIF):
```
data_Sr4ScCo2
_symmetry_space_group_name_H-M 'P 1'
_symmetry_Int_Tables_number 1
_cell_length_a 6.146
_cell_length_b 6.146
_cell_length_c 14.620
_cell_angle_alpha 90.00
_cell_angle_beta 90.00
_cell_angle_gamma 90.00
loop_
_symmetry_equiv_pos_as_xyz
'x,y,z'
loop_
_atom_site_label
_atom_site_fract_x
_atom_site_fract_y
_atom_site_fract_z
Sr1 0.000 0.000 0.230
Sr2 0.000 0.000 0.770
Sr3 0.000 0.500 0.000
Sr4 0.000 0.500 0.500
Sr5 0.500 0.000 0.000
Sr6 0.500 0.000 0.500
Sr7 0.500 0.500 0.270
Sr8 0.500 0.500 0.730
Sc1 0.000 0.000 0.000
Sc2 0.500 0.500 0.500
Co1 0.000 0.000 0.428
Co2 0.000 0.000 0.572
Co3 0.500 0.500 0.072
Co4 0.500 0.500 0.928
```

Values from the calculation:
Its raw total energy is -21.40 eV/f.u. Its crystal system is tetragonal. The calculation puts the density of states at the Fermi level at 25.90 states/eV per cell.


DFT (PBE-GGA) results for an optimized crystal structure of SrScCo2.

Structure (CIF):
```
data_SrScCo2
_symmetry_space_group_name_H-M 'P 1'
_symmetry_Int_Tables_number 1
_cell_length_a 8.730
_cell_length_b 4.003
_cell_length_c 6.446
_cell_angle_alpha 90.00
_cell_angle_beta 119.98
_cell_angle_gamma 90.00
loop_
_symmetry_equiv_pos_as_xyz
'x,y,z'
loop_
_atom_site_label
_atom_site_fract_x
_atom_site_fract_y
_atom_site_fract_z
Sr1 0.000 0.000 0.000
Sr2 0.500 0.500 0.000
Sc1 0.000 0.500 0.500
Sc2 0.500 0.000 0.500
Co1 0.245 0.000 0.567
Co2 0.255 0.500 0.433
Co3 0.745 0.500 0.567
Co4 0.755 0.000 0.433
```

Values from the calculation:
Its raw total energy is -21.58 eV/f.u. The value obtained for the energy above the lowest structure with this stoichiometry is 150.4 meV per atom. Its crystal system is monoclinic. The calculation puts the density of states at the Fermi level at 6.78 states/eV per cell.


DFT (PBE-GGA) results for an optimized crystal structure of SrScCo2.

Structure (CIF):
```
data_SrScCo2
_symmetry_space_group_name_H-M 'P 1'
_symmetry_Int_Tables_number 1
_cell_length_a 4.735
_cell_length_b 4.755
_cell_length_c 6.723
_cell_angle_alpha 90.00
_cell_angle_beta 90.00
_cell_angle_gamma 90.00
loop_
_symmetry_equiv_pos_as_xyz
'x,y,z'
loop_
_atom_site_label
_atom_site_fract_x
_atom_site_fract_y
_atom_site_fract_z
Sr1 0.000 0.000 0.000
Sr2 0.500 0.500 0.500
Sc1 0.000 0.000 0.500
Sc2 0.500 0.500 0.000
Co1 0.000 0.500 0.249
Co2 0.000 0.500 0.751
Co3 0.500 0.000 0.251
Co4 0.500 0.000 0.749
```

Values from the calculation:
Its raw total energy is -20.74 eV/f.u. The value obtained for the energy above the lowest structure with this stoichiometry is 360.9 meV per atom. Its crystal system is orthorhombic. The calculation puts the density of states at the Fermi level at 10.84 states/eV per cell.


DFT (PBE-GGA) results for an optimized crystal structure of SrSc2Co.

Structure (CIF):
```
data_SrSc2Co
_symmetry_space_group_name_H-M 'P 1'
_symmetry_Int_Tables_number 1
_cell_length_a 5.064
_cell_length_b 5.064
_cell_length_c 7.198
_cell_angle_alpha 90.00
_cell_angle_beta 90.00
_cell_angle_gamma 90.00
loop_
_symmetry_equiv_pos_as_xyz
'x,y,z'
loop_
_atom_site_label
_atom_site_fract_x
_atom_site_fract_y
_atom_site_fract_z
Sr1 0.000 0.000 0.000
Sr2 0.500 0.500 0.500
Sc1 0.000 0.000 0.500
Sc2 0.000 0.500 0.250
Sc3 0.500 0.000 0.750
Sc4 0.500 0.500 0.000
Co1 0.000 0.500 0.750
Co2 0.500 0.000 0.250
```

Values from the calculation:
Its raw total energy is -19.35 eV/f.u. The value obtained for the energy above the lowest structure with this stoichiometry is 518.2 meV per atom. Its crystal system is tetragonal. The calculation puts the density of states at the Fermi level at 11.83 states/eV per cell.


DFT (PBE-GGA) results for an optimized crystal structure of Sr2ScCo.

Structure (CIF):
```
data_Sr2ScCo
_symmetry_space_group_name_H-M 'P 1'
_symmetry_Int_Tables_number 1
_cell_length_a 4.814
_cell_length_b 4.814
_cell_length_c 10.183
_cell_angle_alpha 90.00
_cell_angle_beta 90.00
_cell_angle_gamma 90.00
loop_
_symmetry_equiv_pos_as_xyz
'x,y,z'
loop_
_atom_site_label
_atom_site_fract_x
_atom_site_fract_y
_atom_site_fract_z
Sr1 0.000 0.500 0.250
Sr2 0.000 0.500 0.750
Sr3 0.500 0.000 0.250
Sr4 0.500 0.000 0.750
Sc1 0.000 0.000 0.000
Sc2 0.500 0.500 0.500
Co1 0.000 0.000 0.500
Co2 0.500 0.500 0.000
```

Values from the calculation:
Its raw total energy is -14.05 eV/f.u. The value obtained for the energy above the lowest structure with this stoichiometry is 552.0 meV per atom. Its crystal system is tetragonal. The calculation puts the density of states at the Fermi level at 13.77 states/eV per cell.


no.,energy relative to the elements (eV per atom)
1,0.206
2,0.166
3,0.491
4,0.385
5,0.443
6,0.221
7,0.106
8,0.252
9,0.163
10,0.839
11,0.160
12,0.371
13,0.524
14,0.688